[1]
! Ag6Te3Se (GGA-PBE, optimized geometry); values from VASP
! Size of the total moment   0.00 μB per formula unit
! V   25.505 A^3/atom
! ΔE to the lowest computed polymorph   18 meV/atom
! Raw formation energy   21 meV/atom
&SYSTEM
  ibrav = 0, nat = 10, ntyp = 3
/
ATOMIC_SPECIES
Ag 107.87 Ag.upf
Te 127.60 Te.upf
Se 78.96 Se.upf
ATOMIC_POSITIONS angstrom
Ag 5.5527 2.6606 3.9019
Ag 8.6507 4.9569 5.5240
Ag 8.6507 6.8630 2.8258
Ag 5.5527 4.5667 1.2037
Ag 6.5504 7.0642 4.9903
Ag 7.6530 2.4594 1.7374
Te 3.3777 2.6296 1.8576
Te 10.8258 6.8940 4.8701
Te 0.0000 0.0000 0.0000
Se 7.1017 4.7618 3.3638
CELL_PARAMETERS angstrom
7.1309 0.0814 0.0575
3.5363 6.5216 0.7864
3.5363 2.9206 5.8838

***

[2]
! Ag5TeSe6 (GGA-PBE, optimized geometry); values from VASP
! Size of the total moment   0.00 μB per formula unit
! V   22.333 A^3/atom
! Raw formation energy   -33 meV/atom
&SYSTEM
  ibrav = 0, nat = 12, ntyp = 3
/
ATOMIC_SPECIES
Ag 107.87 Ag.upf
Te 127.60 Te.upf
Se 78.96 Se.upf
ATOMIC_POSITIONS angstrom
Ag -4.0527 0.0646 5.7161
Ag -0.5068 0.6920 3.9465
Ag -1.8052 -3.0731 4.4651
Ag -0.9132 1.2436 7.8370
Ag -2.2160 -2.5152 8.3581
Te 0.0000 0.0000 0.0000
Se -4.3630 -2.0725 3.8289
Se -1.4571 -0.9887 6.3312
Se -0.7544 -1.4658 2.3213
Se -2.8560 -4.6804 6.6089
Se -4.8116 -1.4618 7.7430
Se -1.9057 -0.3780 10.2452
CELL_PARAMETERS angstrom
-4.8486 -4.3862 2.2907
1.2383 -1.7601 6.6395
-2.6583 3.6957 5.1440

***

[3]
! Ag2TeSe (GGA-PBE, optimized geometry); values from VASP
! Size of the total moment   0.00 μB per formula unit
! V   24.596 A^3/atom
! ΔE to the lowest computed polymorph   54 meV/atom
! Raw formation energy   45 meV/atom
&SYSTEM
  ibrav = 0, nat = 4, ntyp = 3
/
ATOMIC_SPECIES
Te 127.60 Te.upf
Se 78.96 Se.upf
Ag 107.87 Ag.upf
ATOMIC_POSITIONS angstrom
Te 1.5401 2.1338 6.2335
Se 0.0000 0.0000 2.9419
Ag 0.0000 0.0000 0.1622
Ag 1.5401 2.1338 1.8891
CELL_PARAMETERS angstrom
3.0802 0.0000 0.0000
0.0000 4.2675 0.0000
0.0000 0.0000 7.4845

***

Question: The lowest raw formation energy belongs to which entry?
Answer: Ag5TeSe6

***

Question: The highest raw formation energy belongs to which entry?
Answer: Ag2TeSe